No. 1
Computed, not measured: a relaxed structure of PrSClO4 at the GGA-PBE level of DFT.

abc: 6.6735 8.0492 8.4892
angles: 90.00 113.98 90.00
With the nearest neighbours (Å) after each atom.
Sites, in units of the cell vectors:
Pr 0.1133 0.1942 0.2236  5 O 2.40-2.52
Pr 0.1133 0.3058 0.7236  5 O 2.40-2.52
Pr 0.8867 0.6942 0.2764  5 O 2.40-2.52
Pr 0.8867 0.8058 0.7764  5 O 2.40-2.52
S 0.2801 0.5830 0.0656  4 O 1.46-1.52
S 0.2801 0.9170 0.5656  4 O 1.46-1.52
S 0.7199 0.0830 0.4344  4 O 1.46-1.52
S 0.7199 0.4170 0.9344  4 O 1.46-1.52
Cl 0.2351 0.0341 0.9726  3 Pr 2.88-2.92, 3 O 3.12-3.18
Cl 0.2351 0.4659 0.4726  3 Pr 2.88-2.92, 3 O 3.12-3.18
Cl 0.7649 0.5341 0.5274  3 Pr 2.88-2.92, 3 O 3.12-3.18
Cl 0.7649 0.9659 0.0274  3 Pr 2.88-2.92, 3 O 3.12-3.18
O 0.1282 0.6851 0.1145  1 S 1.49
O 0.1282 0.8149 0.6145  1 S 1.49
O 0.1778 0.5842 0.8700  1 S 1.52
O 0.1778 0.9158 0.3700  1 S 1.52
O 0.2924 0.0911 0.6225  1 S 1.47
O 0.2924 0.4089 0.1225  1 S 1.47
O 0.4968 0.6589 0.1284  1 S 1.46
O 0.4968 0.8411 0.6284  1 S 1.46
O 0.5032 0.1589 0.3716  1 S 1.46
O 0.5032 0.3411 0.8716  1 S 1.46
O 0.7076 0.5911 0.8775  1 S 1.47
O 0.7076 0.9089 0.3775  1 S 1.47
O 0.8222 0.0842 0.6300  1 S 1.52
O 0.8222 0.4158 0.1300  1 S 1.52
O 0.8718 0.1851 0.3855  1 S 1.49
O 0.8718 0.3149 0.8855  1 S 1.49

Values from the calculation:
Final energy in eV per formula unit: -45.64

=====

No. 2
Computed, not measured: a relaxed structure of PrSbCl2O2 at the GGA-PBE level of DFT.

abc: 3.9302 3.9302 7.0636
angles: 90.00 90.00 90.00
With the nearest neighbours (Å) after each atom.
Sites, in units of the cell vectors:
Pr 0.0000 0.0000 0.0000  4 O 2.41
Sb 0.5000 0.5000 0.3478  4 O 2.24
Cl 0.0000 0.0000 0.5736  1 Pr 3.01, 4 Sb 3.20, 4 O 3.31, 4 Cl 3.37
Cl 0.5000 0.5000 0.8433  4 Pr 2.99, 4 O 3.18
O 0.0000 0.5000 0.1965  2 Sb 2.24, 2 Pr 2.41
O 0.5000 0.0000 0.1965  2 Sb 2.24, 2 Pr 2.41

Values from the calculation:
Final energy in eV per formula unit: -34.95

=====

No. 3
Computed, not measured: a relaxed structure of PrSmCl2O2 at the GGA-PBE level of DFT.

abc: 4.0441 4.0441 6.7812
angles: 90.00 90.00 90.00
With the nearest neighbours (Å) after each atom.
Sites, in units of the cell vectors:
Pr 0.0000 0.0000 0.0000  4 O 2.36
Sm 0.5000 0.5000 0.3480  4 O 2.32
Cl 0.0000 0.0000 0.5479  1 Pr 3.07, 4 Sm 3.16, 4 O 3.21, 4 Cl 3.34
Cl 0.5000 0.5000 0.8037  1 Sm 3.09, 4 Pr 3.15, 4 O 3.26, 4 Cl 3.34
O 0.0000 0.5000 0.1808  2 Sm 2.32, 2 Pr 2.36
O 0.5000 0.0000 0.1808  2 Sm 2.32, 2 Pr 2.36

Values from the calculation:
Final energy in eV per formula unit: -41.31

=====

No. 4
Computed, not measured: a relaxed structure of Rb3Re2Cl10O at the GGA-PBE level of DFT.

abc: 10.2041 10.2041 10.2041
angles: 137.97 137.97 60.95
With the nearest neighbours (Å) after each atom.
Sites, in units of the cell vectors:
Rb 0.0000 0.0000 0.0000  8 Cl 3.42
Rb 0.2500 0.7500 0.5000  12 Cl 3.56-3.66
Rb 0.7500 0.2500 0.5000  12 Cl 3.56-3.66
Re 0.3952 0.3952 0.0000  1 O 1.84
Re 0.6048 0.6048 0.0000  1 O 1.84
Cl 0.1597 0.1597 0.5424  1 Re 2.37
Cl 0.1597 0.6173 0.0000  1 Re 2.37
Cl 0.2589 0.2589 0.0000  1 Re 2.40
Cl 0.3827 0.3827 0.5424  1 Re 2.37
Cl 0.3827 0.8403 0.0000  1 Re 2.37
Cl 0.6173 0.1597 0.0000  1 Re 2.37
Cl 0.6173 0.6173 0.4576  1 Re 2.37
Cl 0.7411 0.7411 0.0000  1 Re 2.40
Cl 0.8403 0.3827 0.0000  1 Re 2.37
Cl 0.8403 0.8403 0.4576  1 Re 2.37
O 0.5000 0.5000 0.0000  2 Re 1.84

Values from the calculation:
Final energy in eV per formula unit: -71.39

=====

No. 5
Computed, not measured: a relaxed structure of ReClO3 at the GGA-PBE level of DFT.

abc: 5.5369 8.8307 8.9327
angles: 90.00 123.33 90.00
With the nearest neighbours (Å) after each atom.
Sites, in units of the cell vectors:
Re 0.0828 0.2221 0.2729  3 O 1.72-1.73
Re 0.0828 0.2779 0.7729  3 O 1.72-1.73
Re 0.9172 0.7221 0.2271  3 O 1.72-1.73
Re 0.9172 0.7779 0.7271  3 O 1.72-1.73
Cl 0.3562 0.0666 0.2308  1 Re 2.22
Cl 0.3562 0.4334 0.7308  1 Re 2.22
Cl 0.6438 0.5666 0.2692  1 Re 2.22
Cl 0.6438 0.9334 0.7692  1 Re 2.22
O 0.0808 0.1628 0.4566  1 Re 1.73
O 0.0808 0.3372 0.9566  1 Re 1.73
O 0.2107 0.0944 0.8149  1 Re 1.73
O 0.2107 0.4056 0.3149  1 Re 1.73
O 0.2712 0.7280 0.4075  1 Re 1.72
O 0.2712 0.7720 0.9075  1 Re 1.72
O 0.7288 0.2280 0.0925  1 Re 1.72
O 0.7288 0.2720 0.5925  1 Re 1.72
O 0.7893 0.5944 0.6851  1 Re 1.73
O 0.7893 0.9056 0.1851  1 Re 1.73
O 0.9192 0.6628 0.0434  1 Re 1.73
O 0.9192 0.8372 0.5434  1 Re 1.73

Values from the calculation:
Final energy in eV per formula unit: -35.41

=====

No. 6
Computed, not measured: a relaxed structure of Re2Cl5O4 at the GGA-PBE level of DFT.

abc: 5.5222 8.7757 11.0173
angles: 67.79 81.40 80.05
With the nearest neighbours (Å) after each atom.
Sites, in units of the cell vectors:
Re 0.1452 0.1051 0.1906  1 O 1.69
Re 0.2867 0.5986 0.6479  3 O 1.72-1.75
Re 0.7133 0.4014 0.3521  3 O 1.72-1.75
Re 0.8548 0.8949 0.8094  1 O 1.69
Cl 0.0815 0.1106 0.7012  1 Re 2.29
Cl 0.1132 0.8032 0.9741  1 Re 2.29
Cl 0.2530 0.3704 0.1137  1 Re 2.31
Cl 0.2764 0.0676 0.3885  1 Re 2.29
Cl 0.4591 0.3667 0.7901  1 Re 2.21
Cl 0.5409 0.6333 0.2099  1 Re 2.21
Cl 0.7236 0.9324 0.6115  1 Re 2.29
Cl 0.7470 0.6296 0.8863  1 Re 2.31
Cl 0.8868 0.1968 0.0259  1 Re 2.29
Cl 0.9185 0.8894 0.2988  1 Re 2.29
O 0.0248 0.5600 0.6039  1 Re 1.72
O 0.2051 0.7528 0.7162  1 Re 1.75
O 0.3921 0.0094 0.1248  1 Re 1.69
O 0.4868 0.6692 0.5090  1 Re 1.72
O 0.5132 0.3308 0.4910  1 Re 1.72
O 0.6079 0.9906 0.8752  1 Re 1.69
O 0.7949 0.2472 0.2838  1 Re 1.75
O 0.9752 0.4400 0.3961  1 Re 1.72

Values from the calculation:
Final energy in eV per formula unit: -65.01

=====

No. 7
Computed, not measured: a relaxed structure of Re4Cl8O9 at the GGA-PBE level of DFT.

abc: 5.9433 6.0716 12.6394
angles: 77.73 89.19 84.13
With the nearest neighbours (Å) after each atom.
Sites, in units of the cell vectors:
Re 0.1349 0.1709 0.3523  3 O 1.72-1.75
Re 0.1525 0.3930 0.8884  2 O 1.69-1.86
Re 0.8475 0.6070 0.1116  2 O 1.69-1.86
Re 0.8651 0.8291 0.6477  3 O 1.72-1.75
Cl 0.1572 0.7829 0.1446  1 Re 2.31
Cl 0.2637 0.3586 0.7156  1 Re 2.32
Cl 0.2755 0.4044 0.4401  1 Re 2.21
Cl 0.3661 0.6962 0.8618  1 Re 2.31
Cl 0.6339 0.3038 0.1382  1 Re 2.31
Cl 0.7245 0.5956 0.5599  1 Re 2.21
Cl 0.7363 0.6414 0.2844  1 Re 2.32
Cl 0.8428 0.2171 0.8554  1 Re 2.31
O 0.0000 0.5000 0.0000  2 Re 1.86
O 0.1076 0.2973 0.2149  1 Re 1.75
O 0.1265 0.8982 0.5982  1 Re 1.73
O 0.3166 0.9278 0.3658  1 Re 1.72
O 0.3264 0.1771 0.9596  1 Re 1.69
O 0.6736 0.8229 0.0404  1 Re 1.69
O 0.6834 0.0722 0.6342  1 Re 1.72
O 0.8735 0.1018 0.4018  1 Re 1.73
O 0.8924 0.7027 0.7851  1 Re 1.75

Values from the calculation:
Final energy in eV per formula unit: -131.92

=====

No. 8
Computed, not measured: a relaxed structure of ReCl3O at the GGA-PBE level of DFT.

abc: 4.3368 4.3368 4.3123
angles: 90.00 90.00 90.00
With the nearest neighbours (Å) after each atom.
Sites, in units of the cell vectors:
Re 0.0000 0.0000 0.0000  12 Cl 3.06-3.07
Cl 0.0000 0.5000 0.5000  2 O 2.17
Cl 0.5000 0.0000 0.5000  2 O 2.17
Cl 0.5000 0.5000 0.0000  2 O 2.16
O 0.5000 0.5000 0.5000  6 Cl 2.16-2.17

Values from the calculation:
Final energy in eV per formula unit: -15.63